5
Lattice="-2.044 2.044 6.904 2.044 -2.044 6.904 2.044 2.044 -6.904" Properties=species:S:1:pos:R:3 comment="BaBiClO2 PBE optimized geometry" raw_formation_energy_ev_per_atom=-1.92 e_tot_ev_per_fu=-27.14 rho_kg_m3=5952 pbc="T T T"
Ba 0.000 0.000 0.000
Bi 0.000 0.000 4.286
Cl 0.000 0.000 8.533
O 2.044 0.000 5.237
O 0.000 2.044 5.237

6
Lattice="2.927 0.000 0.000 0.000 8.005 0.000 0.000 0.000 4.986" Properties=species:S:1:pos:R:3 comment="SrRh2 PBE optimized geometry" e_tot_ev_per_fu=-15.21 rho_kg_m3=8341 pbc="T T T"
Sr 0.000 0.000 0.000
Sr 1.463 4.002 2.493
Rh 0.662 2.819 0.000
Rh 0.802 6.821 2.493
Rh 2.125 1.184 2.493
Rh 2.265 5.186 0.000

15
Lattice="3.458 1.996 5.636 -3.458 1.996 5.636 0.000 -3.993 5.636" Properties=species:S:1:pos:R:3 comment="Na3Dy3UO8 PBE optimized geometry" raw_formation_energy_ev_per_atom=-2.82 e_tot_ev_per_fu=-111.04 rho_kg_m3=6563 pbc="T T T"
Na -1.729 -0.998 5.636
Na -1.729 0.998 11.271
Na 0.000 1.996 5.636
Dy -3.458 0.000 8.453
Dy -1.729 0.998 2.818
Dy 1.729 0.998 2.818
U 0.000 0.000 8.453
O 0.000 0.000 3.987
O -1.671 -0.965 9.577
O 0.000 -1.930 7.329
O -1.671 0.965 7.329
O 1.671 -0.965 9.577
O 0.000 1.930 9.577
O 1.671 0.965 7.329
O 0.000 0.000 12.919

12
Lattice="6.866 0.000 0.000 0.000 6.872 0.000 0.000 0.000 6.941" Properties=species:S:1:pos:R:3 comment="BaAsH PBE optimized geometry" relative_energy_mev_per_atom=38 e_tot_ev_per_fu=-12.00 rho_kg_m3=4325 pbc="T T T"
Ba 1.707 1.718 0.096
Ba 1.726 5.154 3.566
Ba 5.140 1.718 3.375
Ba 5.159 5.154 6.845
As 1.685 5.154 6.898
As 1.748 1.718 3.427
As 5.118 5.154 3.514
As 5.181 1.718 0.043
H 0.682 1.718 4.562
H 2.751 5.154 1.091
H 4.115 1.718 5.850
H 6.184 5.154 2.379

5
Lattice="5.927 0.000 0.000 0.000 5.927 0.000 0.000 0.000 4.925" Properties=species:S:1:pos:R:3 comment="RbNa2AlAu PBE optimized geometry" relative_energy_mev_per_atom=87 e_tot_ev_per_fu=-10.71 rho_kg_m3=3411 pbc="T T T"
Rb 0.000 0.000 0.000
Na 0.000 2.964 2.463
Na 2.964 0.000 2.463
Al 2.964 2.964 2.463
Au 2.964 2.964 0.000

4
Lattice="4.331 0.000 0.000 0.000 1.542 4.606 0.000 -1.542 4.606" Properties=species:S:1:pos:R:3 comment="MgSi2Os PBE optimized geometry" raw_formation_energy_ev_per_atom=-0.04 e_tot_ev_per_fu=-23.83 rho_kg_m3=7307 pbc="T T T"
Mg 0.000 0.000 0.000
Si 0.000 0.000 6.735
Si 2.166 0.000 3.034
Os 2.166 0.000 5.654

4
Lattice="4.034 0.000 0.000 -2.017 3.494 0.000 0.000 0.000 7.054" Properties=species:S:1:pos:R:3 comment="LiGaSe2 PBE optimized geometry" raw_formation_energy_ev_per_atom=-0.78 e_tot_ev_per_fu=-15.04 rho_kg_m3=3918 pbc="T T T"
Li 0.000 0.000 0.000
Ga 0.000 2.329 4.141
Se 0.000 2.329 6.458
Se 2.017 1.165 3.038

8
Lattice="4.317 0.000 0.000 0.000 4.317 0.000 0.000 0.000 9.082" Properties=species:S:1:pos:R:3 comment="ZrScTiIn PBE optimized geometry" e_tot_ev_per_fu=-26.20 rho_kg_m3=5865 pbc="T T T"
Zr 1.079 1.079 2.131
Zr 3.238 3.238 6.951
Sc 1.079 3.238 4.541
Sc 3.238 1.079 4.541
Ti 1.079 3.238 0.000
Ti 3.238 1.079 0.000
In 1.079 1.079 6.937
In 3.238 3.238 2.145

4
Lattice="3.881 -2.254 0.000 3.881 2.254 0.000 -2.614 0.000 4.835" Properties=species:S:1:pos:R:3 comment="CaCuAu2 PBE optimized geometry" relative_energy_mev_per_atom=97 e_tot_ev_per_fu=-14.29 rho_kg_m3=9766 pbc="T T T"
Ca 0.000 0.000 0.000
Cu -0.027 0.000 2.911
Au 2.565 0.000 3.066
Au 5.156 0.000 1.756

8
Lattice="-3.094 3.094 10.121 3.094 -3.094 10.121 3.094 3.094 -10.121" Properties=species:S:1:pos:R:3 comment="RbY2Br PBE optimized geometry" relative_energy_mev_per_atom=0 raw_formation_energy_ev_per_atom=0.21 e_tot_ev_per_fu=-14.72 rho_kg_m3=2940 pbc="T T T"
Rb 3.094 1.547 2.530
Rb 0.000 1.547 7.591
Y 0.000 0.000 0.000
Y 1.547 1.547 -5.061
Y 1.547 -1.547 5.061
Y 0.000 3.094 0.000
Br 3.094 -1.547 7.591
Br 0.000 4.641 2.530

12
Lattice="4.342 0.000 0.000 0.002 6.270 0.000 2.163 0.006 6.652" Properties=species:S:1:pos:R:3 comment="HfTc5Ge6 PBE optimized geometry" e_tot_ev_per_fu=-91.01 rho_kg_m3=10127 pbc="T T T"
Hf 0.000 0.000 0.000
Tc 0.001 3.135 0.000
Tc 2.169 3.140 2.226
Tc 2.170 0.003 2.106
Tc 4.337 6.273 4.546
Tc 4.338 3.136 4.427
Ge 2.167 4.640 4.333
Ge 2.167 1.637 4.332
Ge 2.172 1.716 0.000
Ge 4.335 4.560 6.652
Ge 4.340 4.639 2.321
Ge 4.340 1.636 2.319

9
Lattice="4.585 -2.148 0.000 4.585 2.148 0.000 -2.385 0.000 8.623" Properties=species:S:1:pos:R:3 comment="LiCd6Pd2 PBE optimized geometry" relative_energy_mev_per_atom=0 e_tot_ev_per_fu=-20.16 rho_kg_m3=8741 pbc="T T T"
Li 0.000 0.000 0.000
Cd -0.714 0.000 2.722
Cd 1.995 0.000 3.789
Cd 2.858 0.000 0.874
Cd 3.927 0.000 7.749
Cd 4.790 0.000 4.834
Cd 7.499 0.000 5.901
Pd 1.122 0.000 6.706
Pd 5.664 0.000 1.917

5
Lattice="4.280 0.000 0.000 0.000 4.280 0.000 0.000 0.000 4.280" Properties=species:S:1:pos:R:3 comment="TcGe3O PBE optimized geometry" relative_energy_mev_per_atom=0 raw_formation_energy_ev_per_atom=0.29 e_tot_ev_per_fu=-27.72 rho_kg_m3=7032 pbc="T T T"
Tc 0.000 0.000 0.000
Ge 0.000 2.140 2.140
Ge 2.140 0.000 2.140
Ge 2.140 2.140 0.000
O 2.140 2.140 2.140

5
Lattice="3.764 0.000 0.000 0.000 3.764 0.000 0.000 0.000 3.764" Properties=species:S:1:pos:R:3 comment="BeGeF3 PBE optimized geometry" relative_energy_mev_per_atom=0 raw_formation_energy_ev_per_atom=-1.78 e_tot_ev_per_fu=-22.87 rho_kg_m3=4318 pbc="T T T"
Be 0.000 0.000 0.000
Ge 1.882 1.882 1.882
F 0.000 0.000 1.882
F 0.000 1.882 0.000
F 1.882 0.000 0.000

19
Lattice="3.627 2.094 3.525 -3.627 2.094 3.525 0.000 -4.188 3.525" Properties=species:S:1:pos:R:3 comment="Be17MoRu PBE optimized geometry" e_tot_ev_per_fu=-86.76 rho_kg_m3=3620 pbc="T T T"
Be 0.000 0.000 0.538
Be -1.113 -2.305 5.150
Be -2.553 0.189 5.150
Be 0.000 -2.050 3.414
Be -1.775 1.025 3.414
Be 0.000 0.000 2.683
Be -1.816 -1.049 6.737
Be 1.113 -2.305 5.150
Be -1.440 2.117 5.150
Be 0.000 -2.010 7.051
Be -1.741 1.005 7.051
Be 1.775 1.025 3.414
Be 1.816 -1.049 6.737
Be 0.000 2.097 6.737
Be 2.553 0.189 5.150
Be 1.440 2.117 5.150
Be 1.741 1.005 7.051
Mo 0.000 0.000 5.205
Ru 0.000 0.000 8.647

10
Lattice="4.149 0.000 0.000 0.000 4.149 0.000 0.000 0.000 9.794" Properties=species:S:1:pos:R:3 comment="Th2TaCo4Ge3 PBE optimized geometry" e_tot_ev_per_fu=-74.56 rho_kg_m3=10820 pbc="T T T"
Th 0.000 2.075 2.371
Th 2.075 0.000 7.423
Ta 0.000 0.000 4.897
Co 0.000 0.000 0.000
Co 0.000 2.075 6.223
Co 2.075 0.000 3.571
Co 2.075 2.075 0.000
Ge 0.000 2.075 8.585
Ge 2.075 0.000 1.209
Ge 2.075 2.075 4.897

18
Lattice="3.512 2.028 5.427 -3.512 2.028 5.427 0.000 -4.055 5.427" Properties=species:S:1:pos:R:3 comment="Th2Co12NiB3 PBE optimized geometry" e_tot_ev_per_fu=-122.88 rho_kg_m3=9040 pbc="T T T"
Th 0.000 0.000 1.623
Th 0.000 0.000 14.656
Co -2.011 -1.161 7.370
Co 0.000 -1.570 5.918
Co -1.359 0.785 5.918
Co 0.000 -2.323 8.910
Co -2.011 1.161 8.910
Co -1.359 -0.785 10.361
Co 1.359 0.785 5.918
Co 2.011 -1.161 7.370
Co 0.000 2.323 7.370
Co 1.359 -0.785 10.361
Co 0.000 1.570 10.361
Co 2.011 1.161 8.910
Ni 0.000 0.000 8.140
B -1.756 -1.014 5.427
B -1.756 1.014 10.853
B 0.000 2.028 5.427

28
Lattice="12.364 0.000 0.000 0.000 4.106 0.000 0.000 0.000 14.693" Properties=species:S:1:pos:R:3 comment="BaGd2S4 PBE optimized geometry" raw_formation_energy_ev_per_atom=-2.14 e_tot_ev_per_fu=-61.55 rho_kg_m3=5165 pbc="T T T"
Ba 3.006 1.026 2.361
Ba 3.177 3.079 9.707
Ba 9.188 1.026 4.985
Ba 9.359 3.079 12.332
Gd 0.856 1.026 5.747
Gd 0.974 1.026 13.188
Gd 5.208 3.079 5.841
Gd 5.326 3.079 13.093
Gd 7.039 1.026 1.599
Gd 7.156 1.026 8.851
Gd 11.391 3.079 1.505
Gd 11.508 3.079 8.946
S 0.266 3.079 11.506
S 0.989 1.026 8.487
S 1.550 3.079 0.337
S 2.569 3.079 4.892
S 3.613 1.026 12.239
S 4.633 1.026 7.684
S 5.193 3.079 1.141
S 5.916 1.026 4.159
S 6.448 3.079 10.533
S 7.172 1.026 13.552
S 7.732 3.079 7.009
S 8.752 3.079 2.454
S 9.795 1.026 9.800
S 10.815 1.026 14.355
S 11.375 3.079 6.206
S 12.099 1.026 3.187

10
Lattice="7.218 -2.228 0.000 7.218 2.228 0.000 -1.300 0.000 9.392" Properties=species:S:1:pos:R:3 comment="RbNaCdS2 PBE optimized geometry" raw_formation_energy_ev_per_atom=-0.92 e_tot_ev_per_fu=-16.06 rho_kg_m3=3134 pbc="T T T"
Rb 1.768 0.000 1.484
Rb 11.368 0.000 7.907
Na 1.925 0.000 5.341
Na 11.211 0.000 4.051
Cd 6.065 0.000 3.013
Cd 7.072 0.000 6.379
S 0.443 0.000 7.608
S 4.691 0.000 5.403
S 8.446 0.000 3.989
S 12.694 0.000 1.784

16
Lattice="5.200 0.000 0.000 0.000 4.966 0.000 0.000 0.000 11.507" Properties=species:S:1:pos:R:3 comment="NdNi2Rh PBE optimized geometry" e_tot_ev_per_fu=-24.22 rho_kg_m3=8149 pbc="T T T"
Nd 1.300 0.000 1.239
Nd 1.300 2.483 4.446
Nd 3.900 0.000 10.268
Nd 3.900 2.483 7.061
Ni 0.000 0.000 5.754
Ni 0.000 2.483 0.000
Ni 1.300 1.235 7.346
Ni 1.300 3.731 7.346
Ni 2.600 0.000 5.754
Ni 2.600 2.483 0.000
Ni 3.900 1.235 4.161
Ni 3.900 3.731 4.161
Rh 1.300 0.000 9.541
Rh 1.300 2.483 9.431
Rh 3.900 0.000 1.966
Rh 3.900 2.483 2.076